VASP calculation (PBE) on an optimized crystal structure of NdEuEr.

Lattice parameters (Å, degrees): 3.670 3.670 9.020 90.00 90.00 120.00
Positions (direct):
Eu1 0.000 0.000 0.005
Er1 0.667 0.333 0.342
Nd1 0.333 0.667 0.653

## Properties
* SG: No. 156
* E_form: 0.049 eV per atom
* total DFT energy (no corrections): -6.49 eV per atom
* D(E_F): 3.685 states/eV/cell
* density: 7.317 Mg/m³